Record 1
The following is a PBE calculation of a geometry-optimized Na2Ag2F5 structure, from Alexandria.

Total magnetic moment in μB per cell: 0.0
V in Å³/cell: 142
Electronic total energy in eV for the cell shown: -33.984

Cell lengths 6.3160, 6.3160, 6.3277 Å; angles 119.36, 119.36, 41.24 degrees
Last column: nearest neighbours and their distance in Å.
Fractional coordinates of all 9 atoms:
Na 0.1293 0.1293 0.3385  4 F 2.24-2.35
Na 0.8707 0.8707 0.6615  4 F 2.24-2.35
Ag 0.3871 0.3871 0.0996  4 F 2.16-2.23
Ag 0.6129 0.6129 0.9004  4 F 2.16-2.23
F 0.1019 0.1019 0.9120  2 Ag 2.23, 1 Na 2.33
F 0.3214 0.3214 0.7045  1 Ag 2.19, 3 Na 2.24-2.35
F 0.5000 0.5000 0.5000  2 Ag 2.16
F 0.6786 0.6786 0.2955  1 Ag 2.19, 3 Na 2.24-2.35
F 0.8981 0.8981 0.0880  2 Ag 2.23, 1 Na 2.33



Record 2
The following is a PBE calculation of a geometry-optimized La2Ga5Pd structure, from Alexandria.

Formation enthalpy at 0 K in eV/atom: -0.585
Total magnetic moment in μB per cell: 0.0
V in Å³/cell: 182

Cell lengths 6.4271, 6.4271, 6.4271 Å; angles 121.80, 121.80, 86.90 degrees
Last column: nearest neighbours and their distance in Å.
Fractional coordinates of all 8 atoms:
La 0.0000 0.5000 0.5000  10 Ga 3.14-3.24
La 0.5000 0.0000 0.5000  10 Ga 3.14-3.24
Ga 0.0329 0.0329 0.0000  1 Pd 2.52, 4 Ga 2.76
Ga 0.0364 0.0364 0.5750  1 Pd 2.55, 3 Ga 2.66-2.76
Ga 0.0364 0.4614 0.0000  1 Pd 2.55, 3 Ga 2.66-2.76
Ga 0.4614 0.0364 0.0000  1 Pd 2.55, 3 Ga 2.66-2.76
Ga 0.4614 0.4614 0.4250  1 Pd 2.55, 3 Ga 2.66-2.76
Pd 0.7631 0.7631 0.0000  5 Ga 2.52-2.55



Record 3
The following is a PBE calculation of a geometry-optimized Pm2Dy6Sc3 structure, from Alexandria.

Formation enthalpy at 0 K in eV/atom: 0.199
Total magnetic moment in μB per cell: 0.0
V in Å³/cell: 349

Cell lengths 5.9987, 5.9987, 11.3950 Å; angles 95.06, 95.06, 120.06 degrees
Last column: nearest neighbours and their distance in Å.
Fractional coordinates of all 11 atoms:
Pm 0.1666 0.8334 0.0000  3 Pm 3.46, 6 Dy 3.54-3.55
Pm 0.8334 0.1666 0.0000  3 Pm 3.46, 6 Dy 3.54-3.55
Dy 0.0797 0.4134 0.7391  3 Sc 3.35, 6 Dy 3.46-3.47, 2 Pm 3.54-3.55
Dy 0.2529 0.2529 0.2603  3 Sc 3.34-3.35, 6 Dy 3.46, 2 Pm 3.54
Dy 0.4134 0.0797 0.7391  3 Sc 3.35, 6 Dy 3.46-3.47, 2 Pm 3.54-3.55
Dy 0.5866 0.9203 0.2609  3 Sc 3.35, 6 Dy 3.46-3.47, 2 Pm 3.54-3.55
Dy 0.7471 0.7471 0.7397  3 Sc 3.34-3.35, 6 Dy 3.46, 2 Pm 3.54
Dy 0.9203 0.5866 0.2609  3 Sc 3.35, 6 Dy 3.46-3.47, 2 Pm 3.54-3.55
Sc 0.0000 0.0000 0.5000  6 Dy 3.35, 6 Sc 3.45-3.48
Sc 0.3347 0.6653 0.5000  6 Dy 3.34-3.35, 6 Sc 3.44-3.48
Sc 0.6653 0.3347 0.5000  6 Dy 3.34-3.35, 6 Sc 3.44-3.48



Record 4
The following is a PBE calculation of a geometry-optimized RbSmSnBr6 structure, from Alexandria.

Total magnetic moment in μB per cell: 0.0
V in Å³/cell: 383
Electronic total energy in eV for the cell shown: -33.324

Cell lengths 7.6764, 7.6764, 7.5005 Å; angles 90.00, 90.00, 120.00 degrees
Last column: nearest neighbours and their distance in Å.
Fractional coordinates of all 9 atoms:
Rb 0.0000 0.0000 0.0000  6 Br 3.53
Sm 0.3333 0.6667 0.5000  6 Br 2.88
Sn 0.6667 0.3333 0.5000  6 Br 3.00
Br 0.0124 0.3775 0.2782  1 Sm 2.88, 1 Sn 3.00
Br 0.0124 0.6349 0.7218  1 Sm 2.88, 1 Sn 3.00
Br 0.3651 0.3775 0.7218  1 Sm 2.88, 1 Sn 3.00
Br 0.3651 0.9876 0.2782  1 Sm 2.88, 1 Sn 3.00
Br 0.6225 0.6349 0.2782  1 Sm 2.88, 1 Sn 3.00
Br 0.6225 0.9876 0.7218  1 Sm 2.88, 1 Sn 3.00